Density functional theory data (GGA+U) for an optimized crystal structure of LuCoAsO.

magnetic moment	6.16	μB/cell
ρ	6.46	Mg/m³
crystal system	tetragonal
energy above the most stable polymorph in this dataset	119.9	kJ per mole of atoms

Lattice parameters (Å, degrees): 4.3278 4.3278 8.9219 90.00 90.00 90.00
Space group P4/nmm (No. 129, origin choice 2)
Unique sites:
Lu 0.2500 0.7500 0.0000 [2 per cell]
Co 0.2500 0.2500 0.4809 [2 per cell]
As 0.2500 0.2500 0.1855 [2 per cell]
O 0.2500 0.7500 0.5000 [2 per cell]